Entry from Alexandria: an optimized crystal structure of Na2CoSbO4 (PBE+U).

For the size of the total moment, the calculation gives 2.74 μB per formula unit. As for the density of states at the Fermi level: 0.280 states/eV/atom. As for the volume: 216.2 Å³ per cell. As for the total energy: -84.9 eV per cell. Its calculated density is 4.465 g cm⁻³.

The space group is C2 (No. 5) and the conventional cell measures 7.0611, 6.9596 and 5.5377 Å, with angles of 90.00, 127.39 and 90.00 degrees. Symmetry generates all atoms from Na at (0.0000, 0.0000, 0.0000), Na at (0.0000, 0.2467, 0.5000), Co at (0.0000, 0.4640, 0.0000), Sb at (0.0000, 0.7332, 0.5000), O at (0.1856, 0.5496, 0.4391) and O at (0.2436, 0.2874, 0.0447).